Here is a relaxed structure of CaBe2H6 from Alexandria via LeMat-Bulk. Energies are from GGA-PBE.

- energy above the lowest structure with this stoichiometry (meV/atom) = 0.0
- V (Å³/atom) = 8.41

abc: 8.606 8.538 4.374
angles: 90.00 109.56 90.00
Space group C2/c (No. 15)
Symmetry-distinct sites (fractional):
Ca: 0.000 0.192 0.250 (multiplicity 4)
Be: 0.209 0.442 0.861 (multiplicity 8)
H: 0.121 0.040 0.976 (multiplicity 8)
H: 0.128 0.437 0.111 (multiplicity 8)
H: 0.188 0.297 0.699 (multiplicity 8)